First-principles (GGA-PBE) data for an optimized crystal structure of BaBe2Sn2, as listed in the Alexandria database.

Cell lengths 6.3605, 6.3605, 6.3605 Å; angles 137.86, 137.86, 61.12 degrees
With the nearest neighbours (Å) after each atom.
Element x y z (fractional)
Ba  0.0000  0.0000  0.0000  8 Be 3.57, 10 Sn 3.57-3.96
Be  0.2500  0.7500  0.5000  4 Sn 2.59
Be  0.7500  0.2500  0.5000  4 Sn 2.59
Sn  0.3616  0.3616  0.0000  4 Be 2.59
Sn  0.6384  0.6384  0.0000  4 Be 2.59

Results
**Formation enthalpy at 0 K**: -0.1047 eV/atom
**Final energy**: -3.58 eV per atom